[1]
Below is an optimized crystal structure of TbTmN2, with properties calculated at the PBE level.

Unit cell a=3.3888 b=3.3888 c=6.1867 alpha=74.11 beta=74.11 gamma=60.00
Fractional positions:
Tb 0.4971 0.4971 0.5087
Tm 0.6678 0.6678 0.9967
N 0.0810 0.0810 0.7570
N 0.2541 0.2541 0.2376

Output
E_form (uncorrected)	-1.508	eV/atom
symmetry	R3m, No. 160
density of states at the Fermi level	0.0	states/eV/f.u.

[2]
Below is an optimized crystal structure of Tb3TmN4, with properties calculated at the PBE level.

Unit cell a=4.9154 b=4.9154 c=4.9154 alpha=90.00 beta=90.00 gamma=90.00
Fractional positions:
Tb 0.0000 0.5000 0.5000
Tb 0.5000 0.0000 0.5000
Tb 0.5000 0.5000 0.0000
Tm 0.0000 0.0000 0.0000
N 0.5000 0.0000 0.0000
N 0.0000 0.5000 0.0000
N 0.0000 0.0000 0.5000
N 0.5000 0.5000 0.5000

Output
E_form (uncorrected)	-1.695	eV/atom
symmetry	Pm-3m, No. 221
density of states at the Fermi level	0.5	states/eV/f.u.
offset from the most stable computed form	3	meV/atom

[3]
Below is an optimized crystal structure of TbTm3N, with properties calculated at the PBE level.

Unit cell a=4.8903 b=4.8903 c=4.8903 alpha=90.00 beta=90.00 gamma=90.00
Fractional positions:
Tm 0.0000 0.5000 0.0000
Tm 0.0000 0.0000 0.5000
Tm 0.5000 0.0000 0.0000
Tb 0.5000 0.5000 0.5000
N 0.0000 0.0000 0.0000

Output
E_form (uncorrected)	-0.527	eV/atom
symmetry	Pm-3m, No. 221
density of states at the Fermi level	7.0	states/eV/f.u.

[4]
Below is an optimized crystal structure of Tb3Tm2N4, with properties calculated at the PBE level.

Unit cell a=3.4669 b=3.4669 c=14.3876 alpha=90.07 beta=89.93 gamma=120.00
Each line ends with the local moment (μB).
Fractional positions:
Tb 0.6656 0.3344 0.3832  0.15
Tb 0.0000 0.0000 0.0000  0.01
Tb 0.3344 0.6656 0.6168  0.15
Tm 0.6672 0.3328 0.8090  0.02
Tm 0.3328 0.6672 0.1910  0.02
N 0.3336 0.6664 0.8979  0.00
N 0.9991 0.0009 0.2958  -0.01
N 0.0009 0.9991 0.7042  -0.01
N 0.6664 0.3336 0.1021  0.00

Output
E_form (uncorrected)	-1.515	eV/atom
symmetry	C2/m, No. 12
density of states at the Fermi level	4.6	states/eV/f.u.

[5]
Below is an optimized crystal structure of Tb3TmN4, with properties calculated at the PBE level.

Unit cell a=6.0174 b=6.0178 c=6.9523 alpha=90.00 beta=90.00 gamma=109.46
Fractional positions:
Tm 0.7500 0.0000 0.8762
Tm 0.2500 0.0000 0.1238
Tb 0.7500 0.0000 0.3742
Tb 0.2500 0.0000 0.6258
Tb 0.7500 0.5000 0.6259
Tb 0.7500 0.5000 0.1240
Tb 0.2500 0.5000 0.3741
Tb 0.2500 0.5000 0.8760
N 0.9975 0.2488 0.6271
N 0.5006 0.2455 0.8778
N 0.4975 0.2488 0.3729
N 0.0006 0.2455 0.1222
N 0.9994 0.7545 0.8778
N 0.5025 0.7512 0.6271
N 0.4994 0.7545 0.1222
N 0.0025 0.7512 0.3729

Output
E_form (uncorrected)	-1.698	eV/atom
symmetry	P2/c, No. 13
density of states at the Fermi level	0.4	states/eV/f.u.
offset from the most stable computed form	0	meV/atom

[6]
Below is an optimized crystal structure of Tb2TmN3, with properties calculated at the PBE level.

Unit cell a=3.4665 b=4.9028 c=6.0054 alpha=114.09 beta=106.78 gamma=90.00
Fractional positions:
Tb 0.3338 0.8338 0.6675
Tb 0.6662 0.1662 0.3325
Tm 0.0000 0.5000 0.0000
N 0.6631 0.6631 0.3262
N 0.0000 0.0000 0.0000
N 0.3369 0.3369 0.6738

Output
E_form (uncorrected)	-1.711	eV/atom
symmetry	Immm, No. 71
density of states at the Fermi level	0.2	states/eV/f.u.

[7]
Below is an optimized crystal structure of Tb3Tm2UN6, with properties calculated at the PBE level.

Unit cell a=5.9608 b=5.9608 c=5.9812 alpha=99.54 beta=99.54 gamma=119.98
Each line ends with the local moment (μB).
Fractional positions:
Tb 0.1682 0.8318 0.5000  0.02
Tb 0.8318 0.1682 0.5000  0.02
Tb 0.5000 0.5000 0.5000  0.03
Tm 0.3337 0.6663 0.0000  0.02
Tm 0.6663 0.3337 0.0000  0.02
U 0.0000 0.0000 0.0000  0.70
N 0.9216 0.6027 0.7650  -0.02
N 0.7592 0.7592 0.2329  -0.01
N 0.0784 0.3973 0.2350  -0.02
N 0.6027 0.9216 0.7650  -0.02
N 0.2408 0.2408 0.7671  -0.01
N 0.3973 0.0784 0.2350  -0.02

Output
E_form (uncorrected)	-1.695	eV/atom
symmetry	C2/m, No. 12
density of states at the Fermi level	4.9	states/eV/f.u.

[8]
Below is an optimized crystal structure of Tb2TmUN4, with properties calculated at the PBE level.

Unit cell a=3.4558 b=5.9528 c=5.9792 alpha=108.96 beta=90.00 gamma=90.00
Each line ends with the local moment (μB).
Fractional positions:
Tb 0.5000 0.0000 0.5000  0.04
Tb 0.0000 0.5000 0.5000  0.09
Tm 0.5000 0.5000 0.0000  0.03
U 0.0000 0.0000 0.0000  1.18
N 0.5000 0.2406 0.2344  -0.04
N 0.5000 0.7594 0.7656  -0.04
N 0.0000 0.2423 0.7685  -0.03
N 0.0000 0.7577 0.2315  -0.03

Output
E_form (uncorrected)	-1.635	eV/atom
symmetry	P2/m, No. 10
density of states at the Fermi level	4.6	states/eV/f.u.

[9]
Below is an optimized crystal structure of TbTmW2N6, with properties calculated at the PBE level.

Unit cell a=6.2357 b=7.3024 c=7.3024 alpha=81.67 beta=74.05 gamma=74.05
Fractional positions:
Tb 0.2500 0.2915 0.7085
Tb 0.7500 0.7085 0.2915
Tm 0.2500 0.9122 0.0878
Tm 0.7500 0.0878 0.9122
W 0.2647 0.8008 0.6189
W 0.2353 0.3811 0.1992
W 0.7353 0.1992 0.3811
W 0.7647 0.6189 0.8008
N 0.1495 0.9987 0.7839
N 0.3505 0.2161 0.0013
N 0.8505 0.0013 0.2161
N 0.6495 0.7839 0.9987
N 0.3360 0.8924 0.3730
N 0.1640 0.6270 0.1076
N 0.6640 0.1076 0.6270
N 0.8360 0.3730 0.8924
N 0.0581 0.6369 0.6480
N 0.4419 0.3520 0.3631
N 0.9419 0.3631 0.3520
N 0.5581 0.6480 0.6369

Output
E_form (uncorrected)	-1.026	eV/atom
symmetry	C2/c, No. 15
density of states at the Fermi level	0.0	states/eV/f.u.

[10]
Below is an optimized crystal structure of Tb2YTmN4, with properties calculated at the PBE level.

Unit cell a=3.4703 b=6.0091 c=6.0090 alpha=109.45 beta=90.00 gamma=90.00
Fractional positions:
Tb 0.5000 0.0000 0.5000
Tb 0.0000 0.5000 0.5000
Y 0.5000 0.5000 0.0000
Tm 0.0000 0.0000 0.0000
N 0.5000 0.2464 0.2460
N 0.5000 0.7536 0.7540
N 0.0000 0.2485 0.7523
N 0.0000 0.7515 0.2477

Output
E_form (uncorrected)	-1.707	eV/atom
symmetry	P2/m, No. 10
density of states at the Fermi level	0.2	states/eV/f.u.

[11]
Below is an optimized crystal structure of TbY2TmN4, with properties calculated at the PBE level.

Unit cell a=3.4654 b=6.0007 c=6.0008 alpha=109.45 beta=90.00 gamma=90.00
Fractional positions:
Tb 0.5000 0.5000 0.0000
Y 0.5000 0.0000 0.5000
Y 0.0000 0.5000 0.5000
Tm 0.0000 0.0000 0.0000
N 0.5000 0.2463 0.2468
N 0.5000 0.7537 0.7532
N 0.0000 0.2479 0.7513
N 0.0000 0.7521 0.2487

Output
E_form (uncorrected)	-1.715	eV/atom
symmetry	P2/m, No. 10
density of states at the Fermi level	0.2	states/eV/f.u.

[12]
Below is an optimized crystal structure of TbTmZrN3, with properties calculated at the PBE level.

Unit cell a=3.3533 b=5.7440 c=8.8126 alpha=101.05 beta=90.00 gamma=90.00
Fractional positions:
Tb 0.7500 0.6627 0.7017
Tb 0.2500 0.3373 0.2983
Tm 0.2500 0.1510 0.6383
Tm 0.7500 0.8490 0.3617
Zr 0.2500 0.7652 0.0436
Zr 0.7500 0.2348 0.9564
N 0.2500 0.7503 0.5067
N 0.7500 0.0362 0.1478
N 0.7500 0.5447 0.1533
N 0.7500 0.2497 0.4933
N 0.2500 0.4553 0.8467
N 0.2500 0.9638 0.8522

Output
E_form (uncorrected)	-1.525	eV/atom
symmetry	P2_1/m, No. 11
density of states at the Fermi level	2.0	states/eV/f.u.

Theoretical density? In order: 10.1, 9.8, 9.7, 9.7, 9.8, 9.9, 10.9, 11.1, 8.4, 8.9, 7.9, 9.2 g/cm3.